[1]
This record from Alexandria describes a relaxed structure of MgTaI2O. The functional is PBE.

POSCAR file:
```
MgTaI2O
1.0
5.675 0.000 0.000
0.000 5.675 0.000
0.000 0.000 3.625
Mg I Ta O
1 2 1 1
Cartesian
0.000 0.000 0.000
0.000 2.837 0.000
2.837 0.000 0.000
2.837 2.837 1.812
0.000 0.000 1.812
```

Computed properties:
For the polymorph energy (0 for the lowest one), the calculation gives 0.6892 eV per atom. As for the space group: P4/mmm (123). The formation energy from raw total energies is 0.087 eV per atom.

[2]
This record from Alexandria describes a relaxed structure of La2GdCl. The functional is PBE.

POSCAR file:
```
La2GdCl
1.0
-3.178 1.458 -0.771
-1.583 -2.226 2.316
1.258 6.496 7.101
Gd Cl La
1 1 2
Cartesian
-1.752 2.864 4.323
-2.381 -0.384 0.773
0.973 5.027 5.496
0.284 1.468 1.605
```

Computed properties:
For the polymorph energy (0 for the lowest one), the calculation gives 0.1139 eV per atom. As for the space group: P4/mmm (123). The formation energy from raw total energies is -0.579 eV per atom.

[3]
This record from Alexandria describes a relaxed structure of SrAg6Sb4. The functional is PBE.

POSCAR file:
```
SrAg6Sb4
1.0
7.345 -0.209 -0.307
-3.581 6.416 0.307
-3.581 -2.074 6.080
Ag Sb Sr
6 4 1
Cartesian
-1.668 2.359 3.469
3.288 0.904 1.330
-4.300 1.260 4.750
1.882 -1.141 2.886
1.882 3.104 0.000
-4.300 3.954 2.918
-2.392 -0.407 3.396
0.928 1.825 2.684
-3.123 3.751 5.517
-2.392 3.308 0.870
0.000 0.000 0.000
```

Computed properties:
As for the space group: I-42m (121). The formation energy from raw total energies is -0.052 eV per atom.